Cs2TiNbBr6, relaxed, DFT GGA-PBE; total magnetization = 5.000 μB/f.u.; density of states at the Fermi level = 14.29 states/eV per cell; formation energy from raw total energies = -1058 kJ/mol of formula units; space-group type = Fm-3m, No. 225
1.0
0.0000 5.4728 5.4728
5.4728 0.0000 5.4728
5.4728 5.4728 0.0000
Cs Ti Nb Br
2 1 1 6
Cartesian
2.7364 2.7364 2.7364
8.2092 8.2092 8.2092
0.0000 0.0000 0.0000
5.4728 5.4728 5.4728
5.4728 5.4728 2.7342
5.4728 2.7342 5.4728
8.2114 5.4728 5.4728
2.7342 5.4728 5.4728
5.4728 8.2114 5.4728
5.4728 5.4728 8.2114

=====

CsNbTl2Br8, relaxed, DFT GGA-PBE; total magnetization = 0.000 μB/f.u.; formation energy from raw total energies = -1154 kJ/mol of formula units; space-group type = P-1, No. 2
1.0
6.5890 0.0000 0.0000
-3.2716 7.3611 0.0000
-0.0069 -0.0248 10.0675
Cs Nb Tl Br
1 1 2 8
Cartesian
0.0000 0.0000 0.0000
-0.0035 -0.0124 5.0338
-1.6310 3.6740 2.3201
4.9414 3.6622 7.7475
-1.1617 5.9538 5.0397
0.9715 1.5278 6.8435
0.9842 1.5304 3.2338
-0.3137 5.2058 0.0004
3.6241 2.1305 10.0671
2.3262 5.8059 6.8338
2.3389 5.8085 3.2240
4.4721 1.3825 5.0279

=====

Question: What is the formation energy from raw total energies in the second record?
Answer: -1154 kJ/mol of formula units

=====

Copy entry 2 word for word.
CsNbTl2Br8, relaxed, DFT GGA-PBE; total magnetization = 0.000 μB/f.u.; formation energy from raw total energies = -1154 kJ/mol of formula units; space-group type = P-1, No. 2
1.0
6.5890 0.0000 0.0000
-3.2716 7.3611 0.0000
-0.0069 -0.0248 10.0675
Cs Nb Tl Br
1 1 2 8
Cartesian
0.0000 0.0000 0.0000
-0.0035 -0.0124 5.0338
-1.6310 3.6740 2.3201
4.9414 3.6622 7.7475
-1.1617 5.9538 5.0397
0.9715 1.5278 6.8435
0.9842 1.5304 3.2338
-0.3137 5.2058 0.0004
3.6241 2.1305 10.0671
2.3262 5.8059 6.8338
2.3389 5.8085 3.2240
4.4721 1.3825 5.0279